Here is crystalline Hf3ScIr2 at its relaxed geometry from the Alexandria database. Energies are from PBE-GGA.

Cell lengths 4.489, 8.124, 6.615 Å; angles 90.00, 90.00, 90.00 degrees
Space group Pmc2_1 (No. 26)
Inequivalent atoms, fractional coordinates:
Hf: 0.000 0.075 0.000 x2
Hf: 0.000 0.331 0.358 x2
Hf: 0.500 0.172 0.656 x2
Sc: 0.500 0.426 0.019 x2
Ir: 0.000 0.336 0.759 x2
Ir: 0.500 0.158 0.254 x2

Results
Total moment   0.00 μB/f.u.
Density of states at the Fermi level   0.87 states/eV/atom
Energy of formation   -0.78 eV per atom
Crystal system   orthorhombic